Entry 1:
! Sm3Tm4Al PBE-GGA optimized geometry; values from VASP
&SYSTEM
  ibrav = 0, nat = 8, ntyp = 3
/
ATOMIC_SPECIES
Sm 150.36 Sm.upf
Tm 168.93 Tm.upf
Al 26.98 Al.upf
CELL_PARAMETERS angstrom
3.5342 0.0000 0.0000
0.0000 3.5342 0.0000
0.0000 0.0000 18.9797
ATOMIC_POSITIONS crystal
Sm 0.5000 0.5000 0.2325
Sm 0.5000 0.5000 0.7675
Sm 0.5000 0.5000 0.5000
Tm 0.0000 0.0000 0.3664
Tm 0.0000 0.0000 0.9020
Tm 0.0000 0.0000 0.0980
Tm 0.0000 0.0000 0.6336
Al 0.5000 0.5000 0.0000
! * DFT formation energy: -88 meV/atom

Entry 2:
! AsP2 PBE-GGA optimized geometry; values from VASP
&SYSTEM
  ibrav = 0, nat = 3, ntyp = 2
/
ATOMIC_SPECIES
As 74.92 As.upf
P 30.97 P.upf
CELL_PARAMETERS angstrom
3.4311 0.0193 -0.0079
1.6937 3.3493 -0.0831
0.0053 0.7359 4.5990
ATOMIC_POSITIONS crystal
As 0.5000 0.0000 0.5000
P 0.7860 0.4278 0.1679
P 0.2140 0.5722 0.8321
! * DFT formation energy: 261 meV/atom

Entry 3:
! NaScZnSn PBE-GGA optimized geometry; values from VASP
&SYSTEM
  ibrav = 0, nat = 4, ntyp = 4
/
ATOMIC_SPECIES
Sn 118.71 Sn.upf
Na 22.99 Na.upf
Zn 65.41 Zn.upf
Sc 44.96 Sc.upf
CELL_PARAMETERS angstrom
-1.8366 -2.0416 4.1692
-3.3036 -3.7314 -0.2935
1.3378 -4.6273 1.3124
ATOMIC_POSITIONS crystal
Sn 0.5000 0.5000 0.5000
Na 0.2500 0.2500 0.2500
Zn 0.0000 0.0000 0.0000
Sc 0.7500 0.7500 0.7500
! * DFT formation energy: -228 meV/atom

Entry 4:
! PmB2 PBE-GGA optimized geometry; values from VASP
&SYSTEM
  ibrav = 0, nat = 6, ntyp = 2
/
ATOMIC_SPECIES
Pm 145.00 Pm.upf
B 10.81 B.upf
CELL_PARAMETERS angstrom
-1.9833 -2.4786 -0.9952
2.6584 -4.5254 0.4123
-3.7652 -0.6724 3.6177
ATOMIC_POSITIONS crystal
Pm 0.4986 0.2514 0.7514
Pm 0.5014 0.7486 0.2486
B 0.8330 0.1653 0.1686
B 0.1670 0.8347 0.8314
B 0.1670 0.3314 0.3347
B 0.8330 0.6686 0.6653
! * DFT formation energy: -351 meV/atom

Entry 5:
! Pm4Th3Sb8 PBE-GGA optimized geometry; values from VASP
&SYSTEM
  ibrav = 0, nat = 15, ntyp = 3
/
ATOMIC_SPECIES
Pm 145.00 Pm.upf
Th 232.04 Th.upf
Sb 121.76 Sb.upf
CELL_PARAMETERS angstrom
8.9517 -0.1378 -0.1979
-4.3785 7.8497 0.1616
-4.3785 -2.5734 7.4176
ATOMIC_POSITIONS crystal
Pm 0.0000 0.5000 0.0000
Pm 0.5000 0.0000 0.0000
Pm 0.0000 0.0000 0.5000
Pm 0.0000 0.0000 0.0000
Th 0.5000 0.5000 0.5000
Th 0.5000 0.5000 0.0000
Th 0.5000 0.0000 0.5000
Sb 0.0000 0.2540 0.7460
Sb 0.5000 0.7509 0.2491
Sb 0.5103 0.2558 0.2558
Sb 0.0017 0.2540 0.2540
Sb 0.0000 0.7460 0.2540
Sb 0.4897 0.7442 0.7442
Sb 0.5000 0.2491 0.7509
Sb 0.9983 0.7460 0.7460
! * raw formation energy: -13.845 eV/f.u.

Entry 6:
! I PBE-GGA optimized geometry; values from VASP
&SYSTEM
  ibrav = 0, nat = 1, ntyp = 1
/
ATOMIC_SPECIES
I 126.90 I.upf
CELL_PARAMETERS angstrom
3.6636 0.0000 0.0000
1.8318 3.1727 0.0000
1.8318 1.0576 2.9913
ATOMIC_POSITIONS crystal
I 0.0000 0.0000 0.0000
! * raw formation energy: 0.509 eV/f.u.

Entry 7:
! Re2Ni8Rh PBE-GGA optimized geometry; values from VASP
&SYSTEM
  ibrav = 0, nat = 11, ntyp = 3
/
ATOMIC_SPECIES
Ni 58.69 Ni.upf
Rh 102.91 Rh.upf
Re 186.21 Re.upf
CELL_PARAMETERS angstrom
3.4633 0.0000 -0.9850
-0.3225 5.6270 -1.1339
0.0606 -0.3555 6.7939
ATOMIC_POSITIONS crystal
Ni 0.6820 0.9140 0.3640
Ni 0.9529 0.2747 0.9059
Ni 0.3180 0.0860 0.6360
Ni 0.5887 0.4540 0.1773
Ni 0.0471 0.7253 0.0941
Ni 0.1369 0.1838 0.2738
Ni 0.8631 0.8162 0.7262
Ni 0.4113 0.5460 0.8227
Rh 0.5000 0.0000 0.0000
Re 0.2260 0.6363 0.4520
Re 0.7740 0.3637 0.5480
! * DFT formation energy: -3 meV/atom

Entry 8:
! CaPm2UAs4 PBE-GGA optimized geometry; values from VASP
&SYSTEM
  ibrav = 0, nat = 8, ntyp = 4
/
ATOMIC_SPECIES
As 74.92 As.upf
Pm 145.00 Pm.upf
Ca 40.08 Ca.upf
U 238.03 U.upf
CELL_PARAMETERS angstrom
-1.0105 1.6660 3.7128
-5.7181 -4.4423 0.4372
5.7506 -3.2394 3.0187
ATOMIC_POSITIONS crystal
As 0.0000 0.7601 0.2423
As 0.5000 0.7603 0.7595
As 0.5000 0.2397 0.2405
As 0.0000 0.2399 0.7577
Pm 0.5000 0.0000 0.5000
Pm 0.0000 0.5000 0.5000
Ca 0.5000 0.5000 0.0000
U 0.0000 0.0000 0.0000
! * DFT formation energy: -1227 meV/atom

Entry 9:
! ErTiFe11C PBE-GGA optimized geometry; values from VASP
&SYSTEM
  ibrav = 0, nat = 14, ntyp = 4
/
ATOMIC_SPECIES
Fe 55.84 Fe.upf
Ti 47.87 Ti.upf
Er 167.26 Er.upf
C 12.01 C.upf
CELL_PARAMETERS angstrom
-4.0545 1.9089 1.7978
-4.4204 -4.5523 1.3488
4.2384 -1.5067 4.6742
ATOMIC_POSITIONS crystal
Fe 0.0012 0.5007 0.0021
Fe 0.0012 0.9979 0.4993
Fe 0.9999 0.6420 0.6419
Fe 0.7246 0.7754 0.2246
Fe 0.4978 0.7824 0.7780
Fe 0.2776 0.2224 0.7776
Fe 0.5002 0.5007 0.0021
Fe 0.9999 0.3581 0.3580
Fe 0.5002 0.9979 0.4993
Fe 0.4978 0.2220 0.2176
Fe 0.3562 0.6438 0.3562
Ti 0.6337 0.3663 0.6337
Er 0.0080 0.9920 0.0080
C 0.5016 0.9984 0.0016
! * DFT formation energy: -104 meV/atom

Entry 10:
! HgPb6Au2 PBE-GGA optimized geometry; values from VASP
&SYSTEM
  ibrav = 0, nat = 18, ntyp = 3
/
ATOMIC_SPECIES
Hg 200.59 Hg.upf
Au 196.97 Au.upf
Pb 207.20 Pb.upf
CELL_PARAMETERS angstrom
8.0625 0.1091 -3.4679
-4.7026 7.2406 -1.5816
-0.0846 -0.1091 8.7763
ATOMIC_POSITIONS crystal
Hg 0.0000 0.5000 0.5000
Hg 0.0000 0.0000 0.0000
Au 0.5000 0.1300 0.6300
Au 0.3442 0.3442 0.0000
Au 0.6558 0.6558 0.0000
Au 0.5000 0.8700 0.3700
Pb 0.2055 0.9591 0.7536
Pb 0.2055 0.4519 0.2464
Pb 0.0981 0.8109 0.2872
Pb 0.7945 0.5481 0.7536
Pb 0.4763 0.1891 0.2872
Pb 0.7945 0.0409 0.2464
Pb 0.5237 0.8109 0.7128
Pb 0.7047 0.6742 0.3788
Pb 0.2953 0.6742 0.9695
Pb 0.2953 0.3258 0.6212
Pb 0.9019 0.1891 0.7128
Pb 0.7047 0.3258 0.0305
! * DFT formation energy: -28 meV/atom

Entry 11:
! Ru2IBr PBE-GGA optimized geometry; values from VASP
&SYSTEM
  ibrav = 0, nat = 16, ntyp = 3
/
ATOMIC_SPECIES
I 126.90 I.upf
Br 79.90 Br.upf
Ru 101.07 Ru.upf
CELL_PARAMETERS angstrom
-5.9447 2.4486 -4.8417
-2.5224 -2.0095 2.0809
1.6868 10.4632 12.1490
ATOMIC_POSITIONS crystal
I 0.4095 0.5000 0.2303
I 0.4095 0.0000 0.7303
I 0.9304 0.5000 0.7314
I 0.9304 0.0000 0.2314
Br 0.0948 0.5000 0.5000
Br 0.5991 0.5000 0.9979
Br 0.5991 0.0000 0.4979
Br 0.0948 0.0000 0.0000
Ru 0.8905 0.0000 0.8386
Ru 0.8685 0.0000 0.4458
Ru 0.6513 0.0000 0.2885
Ru 0.8905 0.5000 0.3386
Ru 0.6513 0.5000 0.7885
Ru 0.6335 0.0000 0.8980
Ru 0.8685 0.5000 0.9458
Ru 0.6335 0.5000 0.3980
! * raw formation energy: 0.873 eV/f.u.

Entry 12:
! AcTb6 PBE-GGA optimized geometry; values from VASP
&SYSTEM
  ibrav = 0, nat = 7, ntyp = 2
/
ATOMIC_SPECIES
Tb 158.93 Tb.upf
Ac 227.00 Ac.upf
CELL_PARAMETERS angstrom
7.0416 0.0000 0.0000
-2.3472 6.6389 0.0000
-2.3472 -3.3194 5.7495
ATOMIC_POSITIONS crystal
Tb 0.7500 0.5000 0.2500
Tb 0.7500 0.2500 0.5000
Tb 0.2500 0.7500 0.5000
Tb 0.5000 0.2500 0.7500
Tb 0.5000 0.7500 0.2500
Tb 0.2500 0.5000 0.7500
Ac 0.0000 0.0000 0.0000
! * DFT formation energy: 1222 meV/atom

Entry 13:
! ZrGa2H2 PBE-GGA optimized geometry; values from VASP
&SYSTEM
  ibrav = 0, nat = 5, ntyp = 3
/
ATOMIC_SPECIES
Zr 91.22 Zr.upf
Ga 69.72 Ga.upf
H 1.01 H.upf
CELL_PARAMETERS angstrom
3.6824 0.0000 0.0000
0.0000 3.6824 0.0000
1.8412 1.8412 4.7134
ATOMIC_POSITIONS crystal
Zr 0.0000 0.0000 0.0000
Ga 0.2500 0.7500 0.5000
Ga 0.7500 0.2500 0.5000
H 0.5448 0.5448 0.9103
H 0.4552 0.4552 0.0897
! * energy: -21.28 eV per cell

Entry 14:
! K2PtW PBE-GGA optimized geometry; values from VASP
&SYSTEM
  ibrav = 0, nat = 4, ntyp = 3
/
ATOMIC_SPECIES
Pt 195.08 Pt.upf
K 39.10 K.upf
W 183.84 W.upf
CELL_PARAMETERS angstrom
6.3695 -0.0056 0.0000
-4.0478 4.9179 0.0000
0.0000 0.0000 2.8264
ATOMIC_POSITIONS crystal
Pt 0.5000 0.0000 0.5000
K 0.0000 0.0000 0.0000
K 0.5000 0.5000 0.0000
W 0.0000 0.5000 0.5000
! * DFT formation energy: 1059 meV/atom

Entry 15:
! Ce2ErTh PBE-GGA optimized geometry; values from VASP
&SYSTEM
  ibrav = 0, nat = 4, ntyp = 3
/
ATOMIC_SPECIES
Ce 140.12 Ce.upf
Er 167.26 Er.upf
Th 232.04 Th.upf
CELL_PARAMETERS angstrom
-2.8488 2.2128 4.2547
-0.4971 -2.8170 4.7887
2.7016 1.7469 4.5568
ATOMIC_POSITIONS crystal
Ce 0.7500 0.7500 0.7500
Ce 0.2500 0.2500 0.2500
Er 0.5000 0.5000 0.5000
Th 0.0000 0.0000 0.0000
! * DFT formation energy: 273 meV/atom

Entry 16:
! CaSm2Ir2 PBE-GGA optimized geometry; values from VASP
&SYSTEM
  ibrav = 0, nat = 10, ntyp = 3
/
ATOMIC_SPECIES
Ca 40.08 Ca.upf
Ir 192.22 Ir.upf
Sm 150.36 Sm.upf
CELL_PARAMETERS angstrom
3.8369 0.0000 0.0000
0.0000 7.9227 0.0000
0.0000 0.0000 7.9227
ATOMIC_POSITIONS crystal
Ca 0.0000 0.0000 0.0000
Ca 0.0000 0.5000 0.5000
Ir 0.0000 0.6376 0.1376
Ir 0.0000 0.3624 0.8624
Ir 0.0000 0.8624 0.6376
Ir 0.0000 0.1376 0.3624
Sm 0.5000 0.6557 0.8443
Sm 0.5000 0.3443 0.1557
Sm 0.5000 0.8443 0.3443
Sm 0.5000 0.1557 0.6557
! * DFT formation energy: -551 meV/atom

Entry 17:
! CrCdPt2 PBE-GGA optimized geometry; values from VASP
&SYSTEM
  ibrav = 0, nat = 8, ntyp = 3
/
ATOMIC_SPECIES
Cd 112.41 Cd.upf
Pt 195.08 Pt.upf
Cr 52.00 Cr.upf
CELL_PARAMETERS angstrom
-0.6753 3.2099 6.4083
2.0389 -6.0847 3.2627
3.3183 -0.6235 4.7057
ATOMIC_POSITIONS crystal
Cd 0.7500 0.2500 0.5000
Cd 0.0000 0.0000 0.0000
Pt 0.8750 0.8468 0.7500
Pt 0.5968 0.1250 0.2500
Pt 0.3750 0.4032 0.7500
Pt 0.1532 0.6250 0.2500
Cr 0.2500 0.7500 0.5000
Cr 0.5000 0.5000 0.0000
! * DFT formation energy: 151 meV/atom

Entry 18:
! DyY4Rh5 PBE-GGA optimized geometry; values from VASP
&SYSTEM
  ibrav = 0, nat = 10, ntyp = 3
/
ATOMIC_SPECIES
Rh 102.91 Rh.upf
Y 88.91 Y.upf
Dy 162.50 Dy.upf
CELL_PARAMETERS angstrom
3.4029 0.0000 0.0000
0.0000 3.4029 0.0000
0.0000 0.0000 17.4998
ATOMIC_POSITIONS crystal
Rh 0.5000 0.5000 0.0984
Rh 0.5000 0.5000 0.2996
Rh 0.5000 0.5000 0.5000
Rh 0.5000 0.5000 0.9016
Rh 0.5000 0.5000 0.7004
Y 0.0000 0.0000 0.1995
Y 0.0000 0.0000 0.3998
Y 0.0000 0.0000 0.8005
Y 0.0000 0.0000 0.6002
Dy 0.0000 0.0000 0.0000
! * DFT formation energy: -841 meV/atom

Entry 19:
! KLi2Tl PBE-GGA optimized geometry; values from VASP
&SYSTEM
  ibrav = 0, nat = 4, ntyp = 3
/
ATOMIC_SPECIES
Li 6.94 Li.upf
Tl 204.38 Tl.upf
K 39.10 K.upf
CELL_PARAMETERS angstrom
-4.6908 1.4836 -2.0437
-4.0617 -2.0477 -2.7733
-6.4300 -1.9616 3.9494
ATOMIC_POSITIONS crystal
Li 0.0832 0.0832 0.8842
Li 0.7822 0.7822 0.6171
Tl 0.4408 0.4408 0.7359
K 0.1939 0.1939 0.2628
! * DFT formation energy: -29 meV/atom

Entry 20:
! TlIrIN2 PBE-GGA optimized geometry; values from VASP
&SYSTEM
  ibrav = 0, nat = 5, ntyp = 4
/
ATOMIC_SPECIES
N 14.01 N.upf
Tl 204.38 Tl.upf
I 126.90 I.upf
Ir 192.22 Ir.upf
CELL_PARAMETERS angstrom
3.9868 0.0000 0.0000
0.0000 3.9868 0.0000
0.0000 0.0000 7.6523
ATOMIC_POSITIONS crystal
N 0.0000 0.5000 0.0000
N 0.5000 0.0000 0.0000
Tl 0.5000 0.5000 0.5000
I 0.0000 0.0000 0.5000
Ir 0.0000 0.0000 0.0000
! * raw formation energy: 5.280 eV/f.u.

Entry 21:
! Pr2YEr6Tm PBE-GGA optimized geometry; values from VASP
&SYSTEM
  ibrav = 0, nat = 20, ntyp = 4
/
ATOMIC_SPECIES
Pr 140.91 Pr.upf
Er 167.26 Er.upf
Y 88.91 Y.upf
Tm 168.93 Tm.upf
CELL_PARAMETERS angstrom
9.1460 -2.1326 -2.2131
0.7517 8.4774 -2.0278
0.7517 -2.3406 8.3964
ATOMIC_POSITIONS crystal
Pr 0.0431 0.3004 0.1940
Pr 0.4569 0.8060 0.6996
Pr 0.5431 0.1940 0.3004
Pr 0.9569 0.6996 0.8060
Er 0.4423 0.2568 0.8728
Er 0.6884 0.0220 0.5757
Er 0.1181 0.7086 0.4976
Er 0.3116 0.9780 0.4243
Er 0.8819 0.2914 0.5024
Er 0.5577 0.7432 0.1272
Er 0.9423 0.8728 0.2568
Er 0.3819 0.5024 0.2914
Er 0.1884 0.5757 0.0220
Er 0.6181 0.4976 0.7086
Er 0.8116 0.4243 0.9780
Er 0.0577 0.1272 0.7432
Y 0.2500 0.9826 0.0174
Y 0.7500 0.0174 0.9826
Tm 0.7500 0.5933 0.4067
Tm 0.2500 0.4067 0.5933
! * DFT formation energy: 115 meV/atom

Entry 22:
! Tb6SmHoSc2 PBE-GGA optimized geometry; values from VASP
&SYSTEM
  ibrav = 0, nat = 20, ntyp = 4
/
ATOMIC_SPECIES
Tb 158.93 Tb.upf
Ho 164.93 Ho.upf
Sc 44.96 Sc.upf
Sm 150.36 Sm.upf
CELL_PARAMETERS angstrom
-4.6936 -6.6477 4.6012
7.7072 -3.3350 2.0146
-2.9562 6.3210 5.0880
ATOMIC_POSITIONS crystal
Tb 0.1798 0.5553 0.0117
Tb 0.1152 0.7022 0.4872
Tb 0.0545 0.1136 0.7598
Tb 0.6798 0.0117 0.5553
Tb 0.8848 0.2978 0.5128
Tb 0.5545 0.7598 0.1136
Tb 0.4455 0.2402 0.8864
Tb 0.6152 0.4872 0.7022
Tb 0.3202 0.9883 0.4447
Tb 0.8202 0.4447 0.9883
Tb 0.3848 0.5128 0.2978
Tb 0.9455 0.8864 0.2402
Ho 0.2500 0.4090 0.5910
Ho 0.7500 0.5910 0.4090
Sc 0.0512 0.3027 0.2001
Sc 0.5512 0.2001 0.3027
Sc 0.4488 0.7999 0.6973
Sc 0.9488 0.6973 0.7999
Sm 0.2500 0.9683 0.0317
Sm 0.7500 0.0317 0.9683
! * DFT formation energy: 125 meV/atom

Entry 23:
! CoSe2Br PBE-GGA optimized geometry; values from VASP
&SYSTEM
  ibrav = 0, nat = 8, ntyp = 3
/
ATOMIC_SPECIES
Se 78.96 Se.upf
Br 79.90 Br.upf
Co 58.93 Co.upf
CELL_PARAMETERS angstrom
4.5643 6.2697 -9.9910
-7.0951 -7.0185 7.7692
-2.0184 3.3394 1.1736
ATOMIC_POSITIONS crystal
Se 0.7877 0.2123 0.7500
Se 0.8697 0.1303 0.2500
Se 0.1303 0.8697 0.7500
Se 0.2123 0.7877 0.2500
Br 0.9465 0.0535 0.7500
Br 0.0535 0.9465 0.2500
Co 0.3092 0.6908 0.2500
Co 0.6908 0.3092 0.7500
! * raw formation energy: 0.284 eV/f.u.